A plane-wave DFT calculation with GGA+U was carried out for FeF after structural relaxation.

a = 8.9407 Å, b = 8.9407 Å, c = 2.9164 Å
α = 90.00°, β = 90.00°, γ = 90.00°
Last column: nearest neighbours and their distance in Å.
Fractional positions:
Fe  0.4797  0.2848  0.0000  3 F 2.03-2.15
Fe  0.5203  0.7152  0.0000  3 F 2.03-2.15
Fe  0.7152  0.4797  0.0000  3 F 2.03-2.15
Fe  0.2848  0.5203  0.0000  3 F 2.03-2.15
Fe  0.9797  0.7848  0.5000  3 F 2.03-2.15
Fe  0.0203  0.2152  0.5000  3 F 2.03-2.15
Fe  0.2152  0.9797  0.5000  3 F 2.03-2.15
Fe  0.7848  0.0203  0.5000  3 F 2.03-2.15
F  0.3486  0.8633  0.0000  3 Fe 2.03-2.15
F  0.6514  0.1367  0.0000  3 Fe 2.03-2.15
F  0.1367  0.3486  0.0000  3 Fe 2.03-2.15
F  0.8633  0.6514  0.0000  3 Fe 2.03-2.15
F  0.8486  0.3633  0.5000  3 Fe 2.03-2.15
F  0.1514  0.6367  0.5000  3 Fe 2.03-2.15
F  0.6367  0.8486  0.5000  3 Fe 2.03-2.15
F  0.3633  0.1514  0.5000  3 Fe 2.03-2.15

Summary:
Crystal system ... tetragonal
Final energy ... -4.971 eV/atom
ΔE to the lowest computed polymorph ... 11.4 kJ per mole of atoms
Size of the total moment ... 1.8311 μB per atom